PmBr4 | Alexandria | GGA-PBE | relaxed; calculated total energy = -3.74 eV per atom; energy relative to the lowest polymorph listed for this composition = 0 meV per atom; M_tot = 0.01 μB/atom
1.0
6.7528 -3.8879 0.0000
6.7528 3.8879 0.0000
-0.6181 0.0000 8.6241
Pm Br
2 8
direct
0.1657 0.1657 0.0017
0.8343 0.8343 0.9983
0.0054 0.5105 0.2116
0.0087 0.0087 0.2122
0.4344 0.4344 0.5794
0.4895 0.9946 0.7884
0.5105 0.0054 0.2116
0.5656 0.5656 0.4206
0.9913 0.9913 0.7878
0.9946 0.4895 0.7884

=====

PmBr3 | Alexandria | GGA-PBE | relaxed; calculated total energy = -4.28 eV per atom; M_tot = 0.00 μB/atom
1.0
-1.9401 5.7810 3.6334
1.9401 -5.7810 3.6334
1.9401 5.7810 -3.6334
Pm Br
1 3
direct
0.0000 0.0000 0.0000
0.3115 0.6499 0.6616
0.7035 0.2035 0.5000
0.9884 0.6499 0.3384

=====

PmBr | Alexandria | GGA-PBE | relaxed; calculated total energy = -4.25 eV per atom; M_tot = 0.00 μB/atom
1.0
3.6450 0.0000 0.0000
0.0000 5.8469 0.0000
0.0000 0.0000 5.0869
Pm Br
2 2
direct
0.2500 0.2500 0.1583
0.7500 0.7500 0.8417
0.2500 0.7500 0.3361
0.7500 0.2500 0.6639

=====

Number 1: formation energy (no corrections) -1.456 eV/atom. Number 2: formation energy (no corrections) -1.840 eV/atom. Number 3: formation energy (no corrections) -1.041 eV/atom.